{
  "formula": "ScV2Mo",
  "functional": "PBE",
  "state": "optimized geometry",
  "relative_energy_mev_per_atom": 0,
  "delta_e_f_ev_per_atom": 0.11,
  "dos_ef_per_ev_fu": 6.8,
  "space_group": "P4/mmm",
  "e_tot_ev_per_atom": -8.74,
  "lattice": [[3.143, 0.000, 0.000], [0.000, 3.143, 0.000], [0.000, 0.000, 6.674]],
  "species": ["Sc", "V", "V", "Mo"],
  "frac_coords": [[0.000, 0.000, 0.000], [0.500, 0.500, 0.292], [0.500, 0.500, 0.708], [0.000, 0.000, 0.500]]
}